Entry from Alexandria: Dy3Ho6Er2Tm after structural relaxation (PBE-GGA).

Values from the calculation:
Calculated density ... 8.94 g/cm³
Symmetry ... No. 12
ΔH_f (0 K) ... 20 meV/atom

```
Dy3Ho6Er2Tm
1.0
3.045 -5.267 0.000
3.045 5.267 0.000
-2.019 0.000 11.467
Dy Ho Er Tm
3 6 2 1
Direct
0.000 0.000 0.000 Dy
0.333 0.667 0.000 Dy
0.667 0.333 0.000 Dy
0.084 0.417 0.251 Ho
0.250 0.250 0.749 Ho
0.417 0.084 0.251 Ho
0.583 0.916 0.749 Ho
0.750 0.750 0.251 Ho
0.916 0.583 0.749 Ho
0.167 0.833 0.500 Er
0.833 0.167 0.500 Er
0.500 0.500 0.500 Tm
```

Entry from Alexandria: CoPb4Se after structural relaxation (PBE-GGA).

Values from the calculation:
Calculated density ... 8.94 g/cm³
Symmetry ... No. 216
Formation energy (no corrections) ... 725 meV per atom

```
CoPb4Se
1.0
0.000 4.478 4.478
4.478 0.000 4.478
4.478 4.478 0.000
Co Pb Se
1 4 1
Direct
0.000 0.000 0.000 Co
0.123 0.626 0.626 Pb
0.626 0.123 0.626 Pb
0.626 0.626 0.123 Pb
0.626 0.626 0.626 Pb
0.250 0.250 0.250 Se
```

Entry from Alexandria: KLa2Tl after structural relaxation (PBE-GGA).

Values from the calculation:
Energy above the lowest structure with this stoichiometry ... 218 meV/atom
Calculated density ... 6.11 g/cm³
Symmetry ... No. 65
ΔH_f (0 K) ... 202 meV/atom

```
KLa2Tl
1.0
7.220 0.000 0.000
0.000 11.036 0.000
0.000 0.000 3.555
K La Tl
2 4 2
Direct
0.000 0.000 0.000 K
0.500 0.500 0.000 K
0.250 0.250 0.500 La
0.250 0.750 0.500 La
0.750 0.250 0.500 La
0.750 0.750 0.500 La
0.000 0.500 0.000 Tl
0.500 0.000 0.000 Tl
```

Entry from Alexandria: IrO3 after structural relaxation (PBE-GGA).

Values from the calculation:
Calculated density ... 7.83 g/cm³
Symmetry ... No. 127
Formation energy (no corrections) ... -400 meV per atom

```
IrO3
1.0
5.204 0.000 0.000
0.000 5.204 0.000
0.000 0.000 3.764
Ir O
2 6
Direct
0.000 0.000 0.000 Ir
0.500 0.500 0.000 Ir
0.000 0.000 0.500 O
0.167 0.333 0.000 O
0.333 0.833 0.000 O
0.500 0.500 0.500 O
0.667 0.167 0.000 O
0.833 0.667 0.000 O
```

Entry from Alexandria: SrLiH3 after structural relaxation (PBE-GGA).

Values from the calculation:
Energy above the lowest structure with this stoichiometry ... 104 meV/atom
Calculated density ... 2.30 g/cm³
Symmetry ... No. 63

```
SrLiH3
1.0
2.009 -6.255 0.000
2.009 6.255 0.000
0.000 0.000 5.612
Sr Li H
2 2 6
Direct
0.158 0.842 0.750 Sr
0.842 0.158 0.250 Sr
0.418 0.582 0.750 Li
0.582 0.418 0.250 Li
0.044 0.956 0.250 H
0.331 0.669 0.001 H
0.331 0.669 0.499 H
0.669 0.331 0.501 H
0.669 0.331 0.999 H
0.956 0.044 0.750 H
```

Entry from Alexandria: LaTbSmS3 after structural relaxation (PBE-GGA).

Values from the calculation:
Calculated density ... 6.41 g/cm³
Symmetry ... No. 11
Formation energy (no corrections) ... -1991 meV per atom

```
LaTbSmS3
1.0
6.953 0.000 0.000
0.000 3.948 0.000
-2.289 0.000 10.283
La Tb Sm S
2 2 2 6
Direct
0.152 0.250 0.195 La
0.848 0.750 0.805 La
0.268 0.750 0.555 Tb
0.732 0.250 0.445 Tb
0.374 0.250 0.867 Sm
0.626 0.750 0.133 Sm
0.048 0.250 0.657 S
0.223 0.750 0.004 S
0.449 0.750 0.347 S
0.551 0.250 0.653 S
0.777 0.250 0.996 S
0.952 0.750 0.343 S
```

Entry from Alexandria: BaNa2Ti2Si4O14 after structural relaxation (PBE-GGA).

Values from the calculation:
Calculated density ... 3.36 g/cm³
Symmetry ... No. 46
Formation energy (no corrections) ... -2796 meV per atom

```
BaNa2Ti2Si4O14
1.0
-5.266 7.031 4.110
5.266 -7.031 4.110
5.266 7.031 -4.110
Ba Na Ti Si O
2 4 4 8 28
Direct
0.248 0.250 0.498 Ba
0.752 0.750 0.502 Ba
0.002 0.002 0.000 Na
0.002 0.502 0.500 Na
0.145 0.743 0.902 Na
0.841 0.243 0.098 Na
0.196 0.978 0.718 Ti
0.261 0.478 0.282 Ti
0.697 0.478 0.719 Ti
0.758 0.978 0.281 Ti
0.166 0.340 0.884 Si
0.166 0.782 0.325 Si
0.456 0.282 0.116 Si
0.456 0.840 0.675 Si
0.561 0.176 0.326 Si
0.561 0.734 0.885 Si
0.850 0.234 0.674 Si
0.850 0.676 0.115 Si
0.010 0.348 0.837 O
0.010 0.673 0.161 O
0.065 0.269 0.297 O
0.117 0.137 0.741 O
0.117 0.876 0.480 O
0.156 0.340 0.051 O
0.156 0.606 0.316 O
0.289 0.106 0.949 O
0.289 0.840 0.684 O
0.366 0.545 0.895 O
0.366 0.971 0.321 O
0.396 0.376 0.259 O
0.396 0.637 0.520 O
0.486 0.269 0.717 O
0.511 0.173 0.163 O
0.511 0.848 0.839 O
0.551 0.769 0.283 O
0.624 0.382 0.481 O
0.624 0.643 0.743 O
0.650 0.045 0.679 O
0.650 0.471 0.105 O
0.724 0.169 0.316 O
0.724 0.908 0.054 O
0.854 0.408 0.684 O
0.854 0.669 0.946 O
0.900 0.143 0.519 O
0.900 0.882 0.257 O
0.972 0.769 0.703 O
```

Entry from Alexandria: KSiOsF2 after structural relaxation (PBE-GGA).

Values from the calculation:
Calculated density ... 4.33 g/cm³
Symmetry ... No. 123
Formation energy (no corrections) ... 568 meV per atom

```
KSiOsF2
1.0
4.213 0.000 0.000
0.000 4.213 0.000
0.000 0.000 6.383
K Si Os F
1 1 1 2
Direct
0.000 0.000 0.000 K
0.000 0.000 0.500 Si
0.500 0.500 0.500 Os
0.000 0.500 0.000 F
0.500 0.000 0.000 F
```

Entry from Alexandria: ErPuTl after structural relaxation (PBE-GGA).

Values from the calculation:
Energy above the lowest structure with this stoichiometry ... 4 meV/atom
Calculated density ... 13.24 g/cm³
Symmetry ... No. 166
ΔH_f (0 K) ... -18 meV/atom

```
ErPuTl
1.0
1.750 1.011 14.553
-1.750 1.011 14.553
0.000 -2.021 14.553
Er Pu Tl
2 2 2
Direct
0.199 0.199 0.199 Er
0.801 0.801 0.801 Er
0.347 0.347 0.347 Pu
0.653 0.653 0.653 Pu
0.074 0.074 0.074 Tl
0.926 0.926 0.926 Tl
```

Entry from Alexandria: Zr2GaRuN after structural relaxation (PBE-GGA).

Values from the calculation:
Calculated density ... 5.57 g/cm³
Symmetry ... No. 123
Formation energy (no corrections) ... 1553 meV per atom

```
Zr2GaRuN
1.0
4.994 0.000 0.000
0.000 4.994 0.000
0.000 0.000 4.394
Zr Ga Ru N
2 1 1 1
Direct
0.000 0.500 0.000 Zr
0.500 0.000 0.000 Zr
0.000 0.000 0.000 Ga
0.000 0.000 0.500 Ru
0.500 0.500 0.500 N
```

Entry from Alexandria: LaW2Cl after structural relaxation (PBE-GGA).

Values from the calculation:
Energy above the lowest structure with this stoichiometry ... 225 meV/atom
Calculated density ... 9.54 g/cm³
Symmetry ... No. 8
Formation energy (no corrections) ... 188 meV per atom

```
LaW2Cl
1.0
8.066 0.000 0.000
0.000 3.186 0.000
-2.390 0.000 7.341
La W Cl
2 4 2
Direct
0.000 0.000 0.000 La
0.500 0.500 0.000 La
0.186 0.000 0.734 W
0.418 0.000 0.588 W
0.686 0.500 0.734 W
0.918 0.500 0.588 W
0.311 0.500 0.306 Cl
0.811 0.000 0.306 Cl
```

Entry from Alexandria: Na12HgAu5 after structural relaxation (PBE-GGA).

Values from the calculation:
Calculated density ... 5.09 g/cm³
Symmetry ... No. 71
ΔH_f (0 K) ... -243 meV/atom

```
Na12HgAu5
1.0
-4.354 4.869 5.624
4.354 -4.869 5.624
4.354 4.869 -5.624
Na Hg Au
12 1 5
Direct
0.026 0.830 0.195 Na
0.243 0.551 0.309 Na
0.243 0.934 0.691 Na
0.282 0.313 0.596 Na
0.282 0.687 0.969 Na
0.365 0.170 0.195 Na
0.635 0.830 0.805 Na
0.718 0.313 0.031 Na
0.718 0.687 0.404 Na
0.757 0.066 0.309 Na
0.757 0.449 0.691 Na
0.974 0.170 0.805 Na
0.500 0.000 0.500 Hg
0.000 0.168 0.168 Au
0.000 0.500 0.500 Au
0.000 0.832 0.832 Au
0.375 0.375 0.000 Au
0.625 0.625 0.000 Au
```

Question: Which of these has the lowest calculated density?
Answer: SrLiH3